Compound: CeY3Ga4
Source: Alexandria
Functional: GGA-PBE
Structure: relaxed

a = 8.857 Å, b = 8.857 Å, c = 8.857 Å
α = 33.32°, β = 33.32°, γ = 33.32°
Positions (direct):
Ce1 0.000 0.000 0.000
Y1 0.249 0.249 0.249
Y2 0.500 0.500 0.500
Y3 0.751 0.751 0.751
Ga1 0.126 0.126 0.126
Ga2 0.376 0.376 0.376
Ga3 0.624 0.624 0.624
Ga4 0.874 0.874 0.874

Computed properties:
E_tot, eV per atom: -5.244
DFT formation energy, eV per atom: -0.5650
Space-group type: R-3m, No. 166